Entry 1:
The following is a DFT calculation (PBE) of crystalline CsKTe2N at its relaxed geometry.

## Properties
ρ: 3.30 g/cm3
DOS at the Fermi energy: 9.9 states/eV/f.u.
Calculated volume: 44.4 Å³/atom
Energy relative to the elements, uncorrected: 0.93 eV/atom
Total moment: 2.61 μB/cell
Final energy: -2.386 eV per atom

abc: 6.547 6.547 5.185
angles: 90.00 90.00 90.00
Site moments in Bohr magnetons follow the coordinates.
Element x y z (fractional)
Cs (0.500, 0.500, 0.500)  0.01
N (0.000, 0.000, 0.500)  0.33
K (0.000, 0.000, 0.000)  0.05
Te (0.000, 0.500, 0.000)  0.53
Te (0.500, 0.000, 0.000)  0.53


Entry 2:
The following is a DFT calculation (PBE) of crystalline AgPtCl4 at its relaxed geometry.

## Properties
ρ: 4.23 g/cm3
DOS at the Fermi energy: 8.1 states/eV/f.u.
Calculated volume: 29.1 Å³/atom
Energy relative to the elements, uncorrected: -0.35 eV/atom
Total moment: 0.99 μB/cell
Final energy: -3.061 eV per atom

abc: 6.098 6.098 6.098
angles: 108.67 108.68 111.08
Site moments in Bohr magnetons follow the coordinates.
Element x y z (fractional)
Ag (0.750, 0.250, 0.500)  0.12
Pt (0.500, 0.500, 0.000)  0.40
Cl (0.780, 0.661, 0.439)  0.09
Cl (0.339, 0.778, 0.119)  0.09
Cl (0.222, 0.341, 0.561)  0.09
Cl (0.659, 0.220, 0.881)  0.09


Entry 3:
The following is a DFT calculation (PBE) of crystalline Cs2Bi2Au3 at its relaxed geometry.

## Properties
ρ: 7.55 g/cm3
DOS at the Fermi energy: 2.6 states/eV/f.u.
Calculated volume: 40.0 Å³/atom
Total moment: 0.00 μB/cell
E_form: -0.315 eV/atom
Final energy: -3.072 eV per atom

abc: 8.523 7.780 9.141
angles: 112.40 90.00 90.00
Element x y z (fractional)
Cs (0.625, 0.713, 0.906)
Cs (0.875, 0.213, 0.406)
Cs (0.125, 0.787, 0.594)
Cs (0.375, 0.287, 0.094)
Bi (0.140, 0.719, 0.065)
Bi (0.640, 0.781, 0.435)
Bi (0.860, 0.281, 0.935)
Bi (0.360, 0.219, 0.565)
Au (0.000, 0.000, 0.000)
Au (0.500, 0.500, 0.500)
Au (0.622, 0.131, 0.711)
Au (0.878, 0.631, 0.211)
Au (0.122, 0.369, 0.789)
Au (0.378, 0.869, 0.289)


Entry 4:
The following is a DFT calculation (PBE) of crystalline CeSiH at its relaxed geometry.

## Properties
ρ: 5.23 g/cm3
DOS at the Fermi energy: 3.9 states/eV/f.u.
Calculated volume: 17.9 Å³/atom
Total moment: 0.00 μB/cell
Final energy: -5.153 eV per atom
Energy above the lowest structure with this stoichiometry: 434 meV per atom

abc: 4.249 3.821 3.821
angles: 120.00 90.00 90.00
Element x y z (fractional)
Si (0.666, 0.333, 0.667)
Ce (0.166, 0.667, 0.333)
H (0.168, 0.000, 0.000)


Entry 5:
The following is a DFT calculation (PBE) of crystalline GePPt2 at its relaxed geometry.

## Properties
ρ: 11.46 g/cm3
DOS at the Fermi energy: 1.6 states/eV/f.u.
Calculated volume: 17.9 Å³/atom
Total moment: 0.00 μB/cell
E_form: -0.343 eV/atom
Final energy: -5.870 eV per atom
Energy above the lowest structure with this stoichiometry: 0 meV per atom

abc: 4.386 4.386 8.060
angles: 74.21 74.21 90.00
Element x y z (fractional)
P (0.500, 0.500, 0.000)
P (0.250, 0.750, 0.500)
Pt (0.159, 0.625, 0.250)
Pt (0.375, 0.409, 0.750)
Pt (0.591, 0.125, 0.250)
Pt (0.875, 0.841, 0.750)
Ge (0.000, 0.000, 0.000)
Ge (0.750, 0.250, 0.500)


Entry 6:
The following is a DFT calculation (PBE) of crystalline AcErOsO6 at its relaxed geometry.

## Properties
ρ: 8.75 g/cm3
DOS at the Fermi energy: 3.9 states/eV/f.u.
Calculated volume: 14.3 Å³/atom
Energy relative to the elements, uncorrected: -2.30 eV/atom
Total moment: 4.04 μB/cell
Final energy: -7.819 eV per atom

abc: 5.800 5.800 8.865
angles: 90.00 90.00 120.00
Site moments in Bohr magnetons follow the coordinates.
Element x y z (fractional)
O (0.625, 0.698, 0.626)  0.08
O (0.302, 0.375, 0.874)  0.08
O (0.698, 0.073, 0.374)  0.08
O (0.073, 0.698, 0.874)  0.08
O (0.073, 0.375, 0.626)  0.08
O (0.698, 0.625, 0.126)  0.08
O (0.927, 0.625, 0.374)  0.08
O (0.375, 0.073, 0.126)  0.08
O (0.927, 0.302, 0.126)  0.08
O (0.625, 0.927, 0.874)  0.08
O (0.375, 0.302, 0.374)  0.08
O (0.302, 0.927, 0.626)  0.08
Os (0.667, 0.333, 0.250)  1.26
Os (0.333, 0.667, 0.750)  1.26
Ac (0.667, 0.333, 0.750)  0.02
Ac (0.333, 0.667, 0.250)  0.02
Er (0.000, 0.000, 0.000)  0.06
Er (0.000, 0.000, 0.500)  0.06